No. 1
Density functional theory data (PBE) for a relaxed LaPuCoPd crystal.

Output
Energy relative to the elements ... -0.190 eV/atom
Spin magnetization ... 5.03 μB per formula unit
Mass density ... 10.441 g/cm3
VASP energy ... -8.08 eV per atom

a b c (Å): 4.977 4.977 4.977
angles (deg): 60.00 60.00 60.00
Last column: magnetic moment on the atom in μB.
Fractional coordinates of all 4 atoms:
Co 0.750 0.750 0.750  -1.00
Pu 0.500 0.500 0.500  5.34
Pd 0.250 0.250 0.250  -0.01
La 0.000 0.000 0.000  0.18



No. 2
Density functional theory data (PBE) for a relaxed La8CoPd2Rh crystal.

Output
Energy relative to the elements ... -0.385 eV/atom
Spin magnetization ... 0.00 μB per formula unit
Mass density ... 6.286 g/cm3
VASP energy ... -5.74 eV per atom

a b c (Å): 6.616 6.988 8.495
angles (deg): 90.02 89.99 92.08
Fractional coordinates of all 12 atoms:
La 0.367 0.241 0.500
La 0.862 0.227 0.759
La 0.633 0.759 0.500
La 0.642 0.762 0.000
La 0.862 0.227 0.241
La 0.138 0.773 0.759
La 0.138 0.773 0.241
La 0.358 0.238 0.000
Co 0.000 0.000 0.000
Pd 0.500 0.500 0.751
Pd 0.500 0.500 0.249
Rh 0.000 0.000 0.500



No. 3
Density functional theory data (PBE) for a relaxed La8CoPd2Ru crystal.

Output
Energy relative to the elements ... -0.329 eV/atom
Spin magnetization ... 0.00 μB per formula unit
Mass density ... 6.274 g/cm3
VASP energy ... -5.84 eV per atom

a b c (Å): 6.815 6.856 8.411
angles (deg): 90.00 90.00 91.62
Fractional coordinates of all 12 atoms:
La 0.158 0.773 0.248
La 0.340 0.244 0.500
La 0.673 0.766 0.000
La 0.327 0.234 0.000
La 0.158 0.773 0.752
La 0.660 0.756 0.500
La 0.842 0.227 0.248
La 0.842 0.227 0.752
Co 0.000 0.000 0.000
Pd 0.500 0.500 0.244
Pd 0.500 0.500 0.756
Ru 0.000 0.000 0.500



No. 4
Density functional theory data (PBE) for a relaxed La2CoPdRu crystal.

Output
Energy relative to the elements ... 0.098 eV/atom
Spin magnetization ... 0.45 μB per formula unit
Mass density ... 6.938 g/cm3
VASP energy ... -6.19 eV per atom

a b c (Å): 5.467 5.467 4.359
angles (deg): 90.00 90.00 90.00
Last column: magnetic moment on the atom in μB.
Fractional coordinates of all 5 atoms:
Pd 0.500 0.500 0.500  0.01
Co 0.000 0.000 0.500  0.54
La 0.000 0.500 0.000  -0.02
La 0.500 0.000 0.000  -0.02
Ru 0.000 0.000 0.000  0.01



No. 5
Density functional theory data (PBE) for a relaxed La2Sm2CoPd2 crystal.

Output
Energy relative to the elements ... -0.460 eV/atom
Spin magnetization ... 0.00 μB per formula unit
Mass density ... 7.540 g/cm3
VASP energy ... -5.72 eV per atom

a b c (Å): 4.045 7.256 7.428
angles (deg): 64.30 74.21 90.02
Fractional coordinates of all 7 atoms:
Co 0.000 0.000 0.000
Sm 0.518 0.756 0.965
Sm 0.482 0.244 0.035
Pd 0.880 0.428 0.239
Pd 0.120 0.572 0.761
La 0.790 0.765 0.420
La 0.210 0.235 0.580



No. 6
Density functional theory data (PBE) for a relaxed Sr2LaCoPd crystal.

Output
Energy relative to the elements ... 0.090 eV/atom
Spin magnetization ... 0.00 μB per formula unit
Mass density ... 5.014 g/cm3
VASP energy ... -4.03 eV per atom

a b c (Å): 5.645 4.983 5.645
angles (deg): 90.00 90.00 90.00
Fractional coordinates of all 5 atoms:
La 0.000 0.500 0.000
Sr 0.500 0.000 0.000
Sr 0.000 0.000 0.500
Co 0.000 0.000 0.000
Pd 0.500 0.500 0.500



No. 7
Density functional theory data (PBE) for a relaxed LaTiCoPd2 crystal.

Output
Energy relative to the elements ... 0.770 eV/atom
Spin magnetization ... 1.53 μB per formula unit
Mass density ... 6.532 g/cm3
VASP energy ... -5.29 eV per atom

a b c (Å): 4.634 5.427 4.634
angles (deg): 90.00 90.00 90.00
Last column: magnetic moment on the atom in μB.
Fractional coordinates of all 5 atoms:
Ti 0.000 0.000 0.000  0.03
Pd 0.000 0.000 0.500  -0.01
Pd 0.500 0.000 0.000  -0.03
La 0.000 0.500 0.000  -0.11
Co 0.500 0.500 0.500  1.87



No. 8
Density functional theory data (PBE) for a relaxed LaTmCoPd crystal.

Output
Energy relative to the elements ... -0.406 eV/atom
Spin magnetization ... 0.35 μB per formula unit
Mass density ... 9.184 g/cm3
VASP energy ... -5.83 eV per atom

a b c (Å): 4.946 4.946 4.946
angles (deg): 60.00 60.00 60.00
Last column: magnetic moment on the atom in μB.
Fractional coordinates of all 4 atoms:
Pd 0.250 0.250 0.250  0.01
Co 0.750 0.750 0.750  0.49
La 0.000 0.000 0.000  -0.03
Tm 0.500 0.500 0.500  -0.08



No. 9
Density functional theory data (PBE) for a relaxed LaY2CoPd crystal.

Output
Energy relative to the elements ... 1.192 eV/atom
Spin magnetization ... 1.79 μB per formula unit
Mass density ... 5.153 g/cm3
VASP energy ... -4.84 eV per atom

a b c (Å): 5.619 4.920 5.619
angles (deg): 90.00 90.00 90.00
Last column: magnetic moment on the atom in μB.
Fractional coordinates of all 5 atoms:
Pd 0.000 0.500 0.000  0.00
Y 0.000 0.000 0.500  0.03
Y 0.500 0.000 0.000  0.07
La 0.000 0.000 0.000  -0.01
Co 0.500 0.500 0.500  -2.04



No. 10
Density functional theory data (PBE) for a relaxed La2ZnCoPd crystal.

Output
Energy relative to the elements ... -0.296 eV/atom
Spin magnetization ... 0.00 μB per formula unit
Mass density ... 6.933 g/cm3
VASP energy ... -4.98 eV per atom

a b c (Å): 5.146 5.146 4.600
angles (deg): 90.00 90.00 90.00
Fractional coordinates of all 5 atoms:
Pd 0.500 0.500 0.500
Co 0.000 0.000 0.000
La 0.500 0.000 0.000
La 0.000 0.500 0.000
Zn 0.000 0.000 0.500



No. 11
Density functional theory data (PBE) for a relaxed La2Pm4Co crystal.

Output
Energy relative to the elements ... 0.216 eV/atom
Spin magnetization ... 0.00 μB per formula unit
Mass density ... 6.283 g/cm3
VASP energy ... -4.92 eV per atom

a b c (Å): 5.258 5.258 9.521
angles (deg): 73.97 73.97 90.00
Fractional coordinates of all 7 atoms:
La 0.347 0.347 0.306
La 0.653 0.653 0.694
Pm 0.000 0.500 0.000
Pm 0.500 0.000 0.000
Pm 0.158 0.158 0.684
Pm 0.842 0.842 0.316
Co 0.000 0.000 0.000